The following is a GGA-PBE calculation of an optimized crystal structure of Al8Fe2Au, from the Alexandria database.

The crystal system is triclinic. The electronic total energy is -4.72 eV per atom. Its density of states at the Fermi level is 3.1 states/eV/cell. As for the energy of formation: -165.2 meV per atom.

It has space group P1 (No. 1), with a = 4.092 Å, b = 6.787 Å, c = 7.146 Å, α = 118.31°, β = 106.50° and γ = 90.08°. Symmetry generates all atoms from Al at (0.000, 0.000, 0.000), Al at (0.072, 0.459, 0.144), Al at (0.225, 0.297, 0.446), Al at (0.346, 0.876, 0.690), Al at (0.470, 0.542, 0.936), Al at (0.618, 0.006, 0.236), Al at (0.690, 0.690, 0.380), Al at (0.851, 0.165, 0.691), Fe at (0.166, 0.883, 0.334), Fe at (0.522, 0.239, 0.046) and Au at (0.848, 0.565, 0.690).

***

The following is a GGA-PBE calculation of an optimized crystal structure of Al2FeAu, from the Alexandria database.

The crystal system is cubic. The electronic total energy is -4.79 eV per atom. Its density of states at the Fermi level is 13.6 states/eV/cell. As for the energy of formation: 14.0 meV per atom.

It has space group F-43m (No. 216), with a = 6.213 Å, b = 6.213 Å, c = 6.213 Å, α = 90.00°, β = 90.00° and γ = 90.00°. Symmetry generates all atoms from Al at (0.000, 0.000, 0.000), Al at (0.250, 0.250, 0.250), Fe at (0.000, 0.000, 0.500) and Au at (0.250, 0.250, 0.750).

***

The following is a GGA-PBE calculation of an optimized crystal structure of Al4FeAu, from the Alexandria database.

The crystal system is tetragonal. The electronic total energy is -4.71 eV per atom. Its density of states at the Fermi level is 13.7 states/eV/cell. As for the energy of formation: -259.0 meV per atom. As for the offset from the most stable computed form: 0.000 eV per atom.

It has space group I4_1/amd (No. 141, origin choice 2), with a = 5.996 Å, b = 5.996 Å, c = 11.421 Å, α = 90.00°, β = 90.00° and γ = 90.00°. Symmetry generates all atoms from Al at (0.220, 0.000, 0.000), Fe at (0.000, 0.250, 0.875) and Au at (0.000, 0.250, 0.375).

***

The following is a GGA-PBE calculation of an optimized crystal structure of AlFeAu2, from the Alexandria database.

The crystal system is tetragonal. The electronic total energy is -4.73 eV per atom. Its density of states at the Fermi level is 9.8 states/eV/cell. As for the energy of formation: -44.8 meV per atom.

It has space group I-4m2 (No. 119), with a = 3.917 Å, b = 3.917 Å, c = 8.245 Å, α = 90.00°, β = 90.00° and γ = 90.00°. Symmetry generates all atoms from Al at (0.000, 0.000, 0.000), Fe at (0.000, 0.500, 0.250), Au at (0.000, 0.000, 0.500) and Au at (0.000, 0.500, 0.750).

***

The following is a GGA-PBE calculation of an optimized crystal structure of Al2FeAu, from the Alexandria database.

The crystal system is monoclinic. The electronic total energy is -4.97 eV per atom. Its density of states at the Fermi level is 4.5 states/eV/cell. As for the energy of formation: -167.3 meV per atom.

It has space group C2/m (No. 12), with a = 8.481 Å, b = 2.836 Å, c = 5.027 Å, α = 90.00°, β = 101.45° and γ = 90.00°. Symmetry generates all atoms from Al at (0.244, 0.000, 0.227), Fe at (0.000, 0.500, 0.000) and Au at (0.000, 0.000, 0.500).

***

The following is a GGA-PBE calculation of an optimized crystal structure of AlFeAu3, from the Alexandria database.

The crystal system is cubic. The electronic total energy is -3.73 eV per atom. Its density of states at the Fermi level is 9.1 states/eV/cell. As for the energy of formation: 679.7 meV per atom. As for the offset from the most stable computed form: 0.000 eV per atom.

It has space group Pm-3m (No. 221), with a = 4.765 Å, b = 4.765 Å, c = 4.765 Å, α = 90.00°, β = 90.00° and γ = 90.00°. Symmetry generates all atoms from Al at (0.000, 0.000, 0.000), Fe at (0.500, 0.500, 0.500) and Au at (0.000, 0.000, 0.500).